## Ac4Pr3 (PBE-GGA)

Data for Ac4Pr3 after structural relaxation.

Cell and atoms, written as extended XYZ:
```
14
Lattice="-0.828 -8.391 3.525 7.969 0.673 -4.424 -0.277 6.174 6.733" Properties=species:S:1:pos:R:3 pbc="T T T"
Pr 5.216 0.662 4.777
Pr 4.255 -3.558 2.404
Pr 6.731 -0.737 -2.148
Pr 0.477 1.568 5.819
Pr 1.094 -3.316 6.187
Pr 2.815 0.747 0.465
Ac 3.699 -2.561 -0.995
Ac -0.235 5.219 5.692
Ac 3.285 -6.757 0.768
Ac -0.096 2.132 2.325
Ac 6.183 -0.540 1.389
Ac 2.199 -0.876 3.601
Ac 4.907 3.185 2.057
Ac 0.648 -4.435 2.665
```

ΔE_f = 1.96 eV per formula unit
excess energy over the best structure of this formula in the dataset = 1.76 eV per formula unit
D(E_F) = 13.29 states/eV/f.u.
E_tot = -4.115 eV/atom